Compound: Ta2TiRe
Source: Alexandria via LeMat-Bulk
Functional: PBE
Structure: optimized geometry

The structure in extended XYZ format:
```
8
Lattice="1.546 -5.779 0.000 1.546 5.779 0.000 0.000 0.000 7.862" Properties=species:S:1:pos:R:3 pbc="T T T"
Ta 1.546 4.258 4.275
Ta 1.546 4.258 7.517
Ta 1.546 -4.258 0.345
Ta 1.546 -4.258 3.586
Ti 1.546 0.254 5.896
Ti 1.546 -0.254 1.965
Re 1.546 3.047 1.965
Re 1.546 -3.047 5.896
```

Calculated values
The calculation puts the raw total energy at -87.60 eV for the cell shown.

Compound: NaWSN2
Source: Alexandria via LeMat-Bulk
Functional: PBE
Structure: optimized geometry

The structure in extended XYZ format:
```
5
Lattice="4.030 0.000 0.000 0.000 4.030 0.000 0.000 0.000 4.731" Properties=species:S:1:pos:R:3 pbc="T T T"
Na 0.000 0.000 0.000
W 2.015 2.015 2.365
S 0.000 0.000 2.365
N 0.000 2.015 0.000
N 2.015 0.000 0.000
```

Calculated values
The formation energy without anion corrections comes out at 56.448 kcal/mol of atoms. The calculation puts the raw total energy at -22.81 eV for the cell shown.

Compound: KCuSe2
Source: Alexandria via LeMat-Bulk
Functional: PBE
Structure: optimized geometry

The structure in extended XYZ format:
```
4
Lattice="3.902 -3.906 0.000 3.902 3.906 0.000 0.000 0.000 2.900" Properties=species:S:1:pos:R:3 pbc="T T T"
K 0.000 0.000 0.000
Cu 3.902 0.000 0.000
Se 1.951 1.953 1.450
Se 1.951 -1.953 1.450
```

Calculated values
The formation energy without anion corrections comes out at -0.874 kcal/mol of atoms. The calculation puts the raw total energy at -12.31 eV for the cell shown.

> What is the formula in the first record?

Ta2TiRe

> Number 1 is which compound?

Ta2TiRe

> Look up the raw total energy of the first one.

-87.60 eV for the cell shown

Repeat the second record exactly.
Compound: NaWSN2
Source: Alexandria via LeMat-Bulk
Functional: PBE
Structure: optimized geometry

The structure in extended XYZ format:
```
5
Lattice="4.030 0.000 0.000 0.000 4.030 0.000 0.000 0.000 4.731" Properties=species:S:1:pos:R:3 pbc="T T T"
Na 0.000 0.000 0.000
W 2.015 2.015 2.365
S 0.000 0.000 2.365
N 0.000 2.015 0.000
N 2.015 0.000 0.000
```

Calculated values
The formation energy without anion corrections comes out at 56.448 kcal/mol of atoms. The calculation puts the raw total energy at -22.81 eV for the cell shown.